Entry 1:
# TePd6Au3 GGA-PBE relaxed
# raw formation energy	-0.16	eV/atom
# energy above the lowest structure with this stoichiometry	0.00	eV per formula unit
# space group	P2_1/m, No. 11
# E	-91.49	eV for the cell shown
data_TePd6Au3
_chemical_formula_sum 'Te2 Pd12 Au6'
_symmetry_space_group_name_H-M 'P 1'
_symmetry_Int_Tables_number 1
_symmetry_space_group_name_Hall 'P 1'
_cell_length_a 4.1367
_cell_length_b 8.9010
_cell_length_c 9.2069
_cell_angle_alpha 93.59
_cell_angle_beta 90.00
_cell_angle_gamma 90.00
loop_
_atom_site_label
_atom_site_type_symbol
_atom_site_fract_x
_atom_site_fract_y
_atom_site_fract_z
Pd1 Pd 0.7500 0.7559 0.5009
Pd2 Pd 0.7500 0.5452 0.9009
Pd3 Pd 0.7500 0.8391 0.8092
Pd4 Pd 0.2500 0.0472 0.9037
Pd5 Pd 0.2500 0.2441 0.4991
Pd6 Pd 0.7500 0.3616 0.2963
Pd7 Pd 0.2500 0.1609 0.1908
Pd8 Pd 0.2500 0.4548 0.0991
Pd9 Pd 0.7500 0.9528 0.0963
Pd10 Pd 0.2500 0.6384 0.7037
Pd11 Pd 0.2500 0.8637 0.3093
Pd12 Pd 0.7500 0.1363 0.6907
Au1 Au 0.2500 0.5534 0.3998
Au2 Au 0.7500 0.2509 0.9975
Au3 Au 0.7500 0.4466 0.6002
Au4 Au 0.2500 0.3430 0.8000
Au5 Au 0.7500 0.6570 0.2000
Au6 Au 0.2500 0.7491 0.0025
Te1 Te 0.2500 0.9217 0.6362
Te2 Te 0.7500 0.0783 0.3638

Entry 2:
# KCdMo GGA-PBE relaxed
# formation energy	1.08	eV per atom
# energy above the lowest structure with this stoichiometry	0.61	eV per formula unit
# space group	I4mm, No. 107
# E	-9.61	eV for the cell shown
data_KCdMo
_chemical_formula_sum 'K1 Cd1 Mo1'
_symmetry_space_group_name_H-M 'P 1'
_symmetry_Int_Tables_number 1
_symmetry_space_group_name_Hall 'P 1'
_cell_length_a 6.8781
_cell_length_b 6.8781
_cell_length_c 6.8781
_cell_angle_alpha 148.63
_cell_angle_beta 148.63
_cell_angle_gamma 44.96
loop_
_atom_site_label
_atom_site_type_symbol
_atom_site_fract_x
_atom_site_fract_y
_atom_site_fract_z
K1 K 0.3342 0.3342 0.0000
Mo1 Mo 0.6222 0.6222 0.0000
Cd1 Cd 0.0436 0.0436 0.0000

Entry 3:
# LiLa4Hg GGA-PBE relaxed
# formation energy	0.25	eV per atom
# energy above the lowest structure with this stoichiometry	2.36	eV per formula unit
# space group	Cmmm, No. 65
# E	-20.40	eV for the cell shown
data_LiLa4Hg
_chemical_formula_sum 'Li1 La4 Hg1'
_symmetry_space_group_name_H-M 'P 1'
_symmetry_Int_Tables_number 1
_symmetry_space_group_name_Hall 'P 1'
_cell_length_a 5.4670
_cell_length_b 6.4473
_cell_length_c 6.4473
_cell_angle_alpha 88.92
_cell_angle_beta 90.00
_cell_angle_gamma 90.00
loop_
_atom_site_label
_atom_site_type_symbol
_atom_site_fract_x
_atom_site_fract_y
_atom_site_fract_z
Li1 Li 0.5000 0.0000 0.0000
La1 La 0.5000 0.3291 0.6710
La2 La 0.0000 0.1624 0.1625
La3 La 0.5000 0.6709 0.3290
La4 La 0.0000 0.8376 0.8375
Hg1 Hg 0.0000 0.5000 0.5000

Entry 4:
# PmTlSnHg GGA-PBE relaxed
# formation energy	-0.42	eV per atom
# energy above the lowest structure with this stoichiometry	0.00	eV per formula unit
# space group	Pmmm, No. 47
# E	-13.11	eV for the cell shown
data_PmTlSnHg
_chemical_formula_sum 'Pm1 Tl1 Sn1 Hg1'
_symmetry_space_group_name_H-M 'P 1'
_symmetry_Int_Tables_number 1
_symmetry_space_group_name_Hall 'P 1'
_cell_length_a 4.6377
_cell_length_b 4.8687
_cell_length_c 4.6968
_cell_angle_alpha 90.00
_cell_angle_beta 90.00
_cell_angle_gamma 90.00
loop_
_atom_site_label
_atom_site_type_symbol
_atom_site_fract_x
_atom_site_fract_y
_atom_site_fract_z
Sn1 Sn 0.0000 0.0000 0.0000
Tl1 Tl 0.0000 0.5000 0.5000
Pm1 Pm 0.5000 0.0000 0.5000
Hg1 Hg 0.5000 0.5000 0.0000

Entry 5:
# BaAg3Hg GGA-PBE relaxed
# formation energy	0.03	eV per atom
# energy above the lowest structure with this stoichiometry	1.08	eV per formula unit
# space group	Pm-3m, No. 221
# E	-10.64	eV for the cell shown
data_BaAg3Hg
_chemical_formula_sum 'Ba1 Ag3 Hg1'
_symmetry_space_group_name_H-M 'P 1'
_symmetry_Int_Tables_number 1
_symmetry_space_group_name_Hall 'P 1'
_cell_length_a 5.3497
_cell_length_b 5.3497
_cell_length_c 5.3497
_cell_angle_alpha 90.00
_cell_angle_beta 90.00
_cell_angle_gamma 90.00
loop_
_atom_site_label
_atom_site_type_symbol
_atom_site_fract_x
_atom_site_fract_y
_atom_site_fract_z
Ba1 Ba 0.5000 0.5000 0.5000
Ag1 Ag 0.5000 0.0000 0.0000
Ag2 Ag 0.0000 0.0000 0.5000
Ag3 Ag 0.0000 0.5000 0.0000
Hg1 Hg 0.0000 0.0000 0.0000

Entry 6:
# Cs3SmTh3Te8 GGA-PBE relaxed
# raw formation energy	-1.25	eV/atom
# space group	R-3m, No. 166
# E	-73.48	eV for the cell shown
data_Cs3SmTh3Te8
_chemical_formula_sum 'Cs3 Sm1 Th3 Te8'
_symmetry_space_group_name_H-M 'P 1'
_symmetry_Int_Tables_number 1
_symmetry_space_group_name_Hall 'P 1'
_cell_length_a 9.0192
_cell_length_b 9.0176
_cell_length_c 10.6135
_cell_angle_alpha 115.16
_cell_angle_beta 90.00
_cell_angle_gamma 120.01
loop_
_atom_site_label
_atom_site_type_symbol
_atom_site_fract_x
_atom_site_fract_y
_atom_site_fract_z
Cs1 Cs 0.5000 0.5000 0.0000
Cs2 Cs 0.0000 0.5000 0.0000
Cs3 Cs 0.0000 0.0000 0.0000
Th1 Th 0.5000 0.0000 0.5000
Th2 Th 0.0000 0.5000 0.5000
Th3 Th 0.5000 0.5000 0.5000
Te1 Te 0.7298 0.9630 0.6960
Te2 Te 0.7334 0.4669 0.7000
Te3 Te 0.7668 0.0370 0.3040
Te4 Te 0.2702 0.0370 0.3040
Te5 Te 0.2333 0.4666 0.6960
Te6 Te 0.2666 0.5331 0.3000
Te7 Te 0.2332 0.9630 0.6960
Te8 Te 0.7667 0.5334 0.3040
Sm1 Sm 0.0000 0.0000 0.5000

Entry 7:
# CrAgAu2 GGA-PBE relaxed
# formation energy	0.09	eV per atom
# space group	I-4m2, No. 119
# E	-18.68	eV for the cell shown
data_CrAgAu2
_chemical_formula_sum 'Cr1 Ag1 Au2'
_symmetry_space_group_name_H-M 'P 1'
_symmetry_Int_Tables_number 1
_symmetry_space_group_name_Hall 'P 1'
_cell_length_a 5.0511
_cell_length_b 5.0511
_cell_length_c 5.0511
_cell_angle_alpha 132.05
_cell_angle_beta 132.05
_cell_angle_gamma 70.15
loop_
_atom_site_label
_atom_site_type_symbol
_atom_site_fract_x
_atom_site_fract_y
_atom_site_fract_z
Ag1 Ag 0.7500 0.2500 0.5000
Cr1 Cr 0.5000 0.5000 0.0000
Au1 Au 0.2500 0.7500 0.5000
Au2 Au 0.0000 0.0000 0.0000

Entry 8:
# YCrPt2 GGA-PBE relaxed
# formation energy	-0.65	eV per atom
# energy above the lowest structure with this stoichiometry	0.00	eV per formula unit
# space group	R-3m, No. 166
# E	-30.77	eV for the cell shown
data_YCrPt2
_chemical_formula_sum 'Y1 Cr1 Pt2'
_symmetry_space_group_name_H-M 'P 1'
_symmetry_Int_Tables_number 1
_symmetry_space_group_name_Hall 'P 1'
_cell_length_a 5.2595
_cell_length_b 5.2595
_cell_length_c 5.2595
_cell_angle_alpha 49.76
_cell_angle_beta 49.76
_cell_angle_gamma 49.76
loop_
_atom_site_label
_atom_site_type_symbol
_atom_site_fract_x
_atom_site_fract_y
_atom_site_fract_z
Cr1 Cr 0.2500 0.2500 0.2500
Y1 Y 0.7500 0.7500 0.7500
Pt1 Pt 0.9620 0.9620 0.9620
Pt2 Pt 0.5380 0.5380 0.5380

Entry 9:
# K2Pm2SiS6 GGA-PBE relaxed
# raw formation energy	-1.38	eV/atom
# space group	C2/m, No. 12
# E	-57.05	eV for the cell shown
data_K2Pm2SiS6
_chemical_formula_sum 'K2 Pm2 Si1 S6'
_symmetry_space_group_name_H-M 'P 1'
_symmetry_Int_Tables_number 1
_symmetry_space_group_name_Hall 'P 1'
_cell_length_a 6.8042
_cell_length_b 6.8042
_cell_length_c 7.8408
_cell_angle_alpha 98.79
_cell_angle_beta 98.79
_cell_angle_gamma 119.07
loop_
_atom_site_label
_atom_site_type_symbol
_atom_site_fract_x
_atom_site_fract_y
_atom_site_fract_z
Si1 Si 0.0000 0.0000 0.5000
K1 K 0.1720 0.8280 0.0000
K2 K 0.8280 0.1720 0.0000
S1 S 0.7859 0.7859 0.6808
S2 S 0.0650 0.3545 0.6880
S3 S 0.2141 0.2141 0.3192
S4 S 0.9350 0.6455 0.3120
S5 S 0.6455 0.9350 0.3120
S6 S 0.3545 0.0650 0.6880
Pm1 Pm 0.3325 0.6675 0.5000
Pm2 Pm 0.6675 0.3325 0.5000

Entry 10:
# PuU4S8 GGA-PBE relaxed
# raw formation energy	-1.36	eV/atom
# space group	F-43m, No. 216
# E	-110.22	eV for the cell shown
data_PuU4S8
_chemical_formula_sum 'Pu1 U4 S8'
_symmetry_space_group_name_H-M 'P 1'
_symmetry_Int_Tables_number 1
_symmetry_space_group_name_Hall 'P 1'
_cell_length_a 8.0639
_cell_length_b 8.0639
_cell_length_c 8.0639
_cell_angle_alpha 60.00
_cell_angle_beta 60.00
_cell_angle_gamma 60.00
loop_
_atom_site_label
_atom_site_type_symbol
_atom_site_fract_x
_atom_site_fract_y
_atom_site_fract_z
S1 S 0.1600 0.6133 0.6133
S2 S 0.6133 0.1600 0.6133
S3 S 0.5917 0.1361 0.1361
S4 S 0.1361 0.1361 0.5917
S5 S 0.6133 0.6133 0.6133
S6 S 0.1361 0.1361 0.1361
S7 S 0.6133 0.6133 0.1600
S8 S 0.1361 0.5917 0.1361
U1 U 0.3718 0.8846 0.3718
U2 U 0.8846 0.3718 0.3718
U3 U 0.3718 0.3718 0.3718
U4 U 0.3718 0.3718 0.8846
Pu1 Pu 0.7500 0.7500 0.7500

Entry 11:
# ZrScBr3 GGA-PBE relaxed
# raw formation energy	-0.31	eV/atom
# energy above the lowest structure with this stoichiometry	0.00	eV per formula unit
# space group	Pm-3m, No. 221
# E	-21.46	eV for the cell shown
data_ZrScBr3
_chemical_formula_sum 'Zr1 Sc1 Br3'
_symmetry_space_group_name_H-M 'P 1'
_symmetry_Int_Tables_number 1
_symmetry_space_group_name_Hall 'P 1'
_cell_length_a 5.2793
_cell_length_b 5.2793
_cell_length_c 5.2793
_cell_angle_alpha 90.00
_cell_angle_beta 90.00
_cell_angle_gamma 90.00
loop_
_atom_site_label
_atom_site_type_symbol
_atom_site_fract_x
_atom_site_fract_y
_atom_site_fract_z
Br1 Br 0.0000 0.5000 0.0000
Br2 Br 0.5000 0.0000 0.0000
Br3 Br 0.0000 0.0000 0.5000
Zr1 Zr 0.5000 0.5000 0.5000
Sc1 Sc 0.0000 0.0000 0.0000